The following is a PBE calculation of a relaxed structure of YGa2Ni, from Alexandria via LeMat-Bulk.

abc: 6.5324 6.5324 6.5324
angles: 90.00 90.00 90.00
Closest atoms and distances in Å follow each position.
Space group Fm-3m (No. 225)
Unique sites:
Y1 0.0000 0.0000 0.0000 (multiplicity 4)  8 Ga 2.83
Ga1 0.2500 0.2500 0.2500 (multiplicity 8)  4 Ni 2.83, 4 Y 2.83
Ni1 0.0000 0.0000 0.5000 (multiplicity 4)  8 Ga 2.83

Size of the total moment: 0.000 μB per atom
Formation energy from the elements: -0.35 eV per atom
Theoretical density: 6840 kg/m3
Crystal system: cubic
Density of states at the Fermi level: 0.779 states/eV per atom
DFT total energy: -4.923 eV/atom

***

The following is a PBE calculation of a relaxed structure of KCuBr2, from Alexandria via LeMat-Bulk.

abc: 8.0098 7.8180 3.9952
angles: 90.00 112.48 90.00
Closest atoms and distances in Å follow each position.
Space group C2/m (No. 12)
Unique sites:
K1 0.0000 0.0000 0.0000 (multiplicity 2)  4 Br 2.96
Cu1 0.0000 0.5000 0.0000 (multiplicity 2)  4 Br 2.96
Br1 0.2500 0.2500 0.5000 (multiplicity 4)  2 K 2.96, 2 Cu 2.96

Distance to the lowest polymorph of the same formula: 415.2 meV per atom
Size of the total moment: 0.000 μB per atom
Theoretical density: 3771 kg/m3
Crystal system: monoclinic
Density of states at the Fermi level: 0.121 states/eV per atom
DFT total energy: -2.716 eV/atom
Formation energy from raw total energies: -56.1 kJ per mole of atoms

***

The following is a PBE calculation of a relaxed structure of La4AuBr6, from Alexandria via LeMat-Bulk.

abc: 10.0836 10.0836 7.4217
angles: 90.00 90.00 90.00
Closest atoms and distances in Å follow each position.
Space group P4_2/nmc (No. 137, origin choice 2)
Unique sites:
La1 0.0049 0.7500 0.0652 (multiplicity 8)  1 Au 2.83, 1 Br 3.13
Au1 0.2500 0.7500 0.2500 (multiplicity 2)  4 La 2.83
Br1 0.0372 0.5372 0.7500 (multiplicity 8)  4 La 3.19-3.23
Br2 0.2500 0.2500 0.1937 (multiplicity 4)  4 La 3.13-3.21

Size of the total moment: 0.097 μB per atom
Theoretical density: 5422 kg/m3
Crystal system: tetragonal
Density of states at the Fermi level: 0.968 states/eV per atom
DFT total energy: -4.471 eV/atom
Formation energy from raw total energies: -141.7 kJ per mole of atoms

***

The following is a PBE calculation of a relaxed structure of MoPb2, from Alexandria via LeMat-Bulk.

abc: 3.0884 3.0884 16.3091
angles: 90.00 90.00 90.00
Closest atoms and distances in Å follow each position.
Space group I4/mmm (No. 139)
Unique sites:
Mo1 0.0000 0.0000 0.0000 (multiplicity 2)  4 Mo 3.09, 8 Pb 3.11
Pb1 0.0000 0.0000 0.3645 (multiplicity 4)  4 Pb 3.09, 4 Mo 3.11

Distance to the lowest polymorph of the same formula: 215.8 meV per atom
Size of the total moment: 0.084 μB per atom
Formation energy from the elements: 0.61 eV per atom
Theoretical density: 10895 kg/m3
Crystal system: tetragonal
Density of states at the Fermi level: 0.604 states/eV per atom
DFT total energy: -5.469 eV/atom

***

Which value of DFT total energy does entry 3 give?
-4.471 eV/atom